[1]
Compound: CdH2Rh
Source: Alexandria via LeMat-Bulk
Functional: GGA-PBE
Structure: relaxed

Values from the calculation:
The density of states at the Fermi level is 0.2318 states/eV/atom. As for the space group: Cmcm, No. 63. The total DFT energy (no corrections) is -3.780 eV per atom.

a b c (Å): 5.626 5.626 4.971
angles (deg): 90.00 90.00 147.64
Fractional coordinates of all 8 atoms:
Cd: 0.065 0.935 0.750
Cd: 0.935 0.065 0.250
H: 0.315 0.685 0.547
H: 0.315 0.685 0.953
H: 0.685 0.315 0.047
H: 0.685 0.315 0.453
Rh: 0.205 0.795 0.250
Rh: 0.795 0.205 0.750

[2]
Compound: BiW
Source: Alexandria via LeMat-Bulk
Functional: GGA-PBE
Structure: relaxed

Values from the calculation:
Its formation energy from the elements is 0.98 eV per atom. The density of states at the Fermi level is 0.7135 states/eV/atom. As for the space group: I4/m, No. 87. The energy above the most stable polymorph in this dataset comes out at 0.92 eV per formula unit. The total DFT energy (no corrections) is -7.439 eV per atom.

a b c (Å): 8.453 8.453 8.453
angles (deg): 92.23 92.23 157.25
Fractional coordinates of all 8 atoms:
Bi: 0.036 0.276 0.312
Bi: 0.276 0.964 0.239
Bi: 0.724 0.036 0.761
Bi: 0.964 0.724 0.688
W: 0.276 0.325 0.601
W: 0.325 0.724 0.049
W: 0.675 0.276 0.951
W: 0.724 0.675 0.399

[3]
Compound: PmPr7Y12
Source: Alexandria via LeMat-Bulk
Functional: GGA-PBE
Structure: relaxed

Values from the calculation:
Its formation energy from the elements is 0.23 eV per atom. The density of states at the Fermi level is 1.9734 states/eV/atom. As for the space group: R-3, No. 148. The energy above the most stable polymorph in this dataset comes out at 0.00 eV per formula unit. The total DFT energy (no corrections) is -5.562 eV per atom.

a b c (Å): 8.894 8.894 8.894
angles (deg): 86.08 86.08 86.08
Fractional coordinates of all 20 atoms:
Pm: 0.000 0.000 0.000
Pr: 0.076 0.156 0.397
Pr: 0.156 0.397 0.076
Pr: 0.397 0.076 0.156
Pr: 0.500 0.500 0.500
Pr: 0.603 0.924 0.844
Pr: 0.844 0.603 0.924
Pr: 0.924 0.844 0.603
Y: 0.136 0.497 0.617
Y: 0.144 0.744 0.273
Y: 0.256 0.727 0.856
Y: 0.273 0.144 0.744
Y: 0.383 0.864 0.503
Y: 0.497 0.617 0.136
Y: 0.503 0.383 0.864
Y: 0.617 0.136 0.497
Y: 0.727 0.856 0.256
Y: 0.744 0.273 0.144
Y: 0.856 0.256 0.727
Y: 0.864 0.503 0.383

[4]
Compound: NaScC
Source: Alexandria via LeMat-Bulk
Functional: GGA-PBE
Structure: relaxed

Values from the calculation:
Its formation energy from the elements is 0.06 eV per atom. The density of states at the Fermi level is 0.0000 states/eV/atom. As for the space group: C2/m, No. 12. The energy above the most stable polymorph in this dataset comes out at 0.61 eV per formula unit. The total DFT energy (no corrections) is -5.566 eV per atom.

a b c (Å): 4.319 4.319 5.768
angles (deg): 90.10 90.10 90.00
Fractional coordinates of all 6 atoms:
Na: 0.249 0.249 0.436
Na: 0.751 0.751 0.564
Sc: 0.250 0.750 0.000
Sc: 0.750 0.250 0.000
C: 0.249 0.249 0.864
C: 0.751 0.751 0.136

[5]
Compound: Y2Mn
Source: Alexandria via LeMat-Bulk
Functional: GGA-PBE
Structure: relaxed

Values from the calculation:
Its formation energy from the elements is 0.35 eV per atom. The density of states at the Fermi level is 1.3815 states/eV/atom. As for the space group: Pnnm, No. 58. The total DFT energy (no corrections) is -7.014 eV per atom.

a b c (Å): 6.852 6.890 3.410
angles (deg): 90.00 90.00 90.00
Fractional coordinates of all 6 atoms:
Y: 0.173 0.218 0.000
Y: 0.327 0.718 0.500
Y: 0.673 0.282 0.500
Y: 0.827 0.782 0.000
Mn: 0.000 0.500 0.500
Mn: 0.500 0.000 0.000

[6]
Compound: Ca2AgO2
Source: Alexandria via LeMat-Bulk
Functional: GGA-PBE
Structure: relaxed

Values from the calculation:
Its formation energy from raw total energies is -1.465 eV per atom. The density of states at the Fermi level is 0.2896 states/eV/atom. As for the space group: P4/mbm, No. 127. The energy above the most stable polymorph in this dataset comes out at 1.35 eV per formula unit. The total DFT energy (no corrections) is -4.820 eV per atom.

a b c (Å): 7.132 7.132 3.004
angles (deg): 90.00 90.00 90.00
Fractional coordinates of all 10 atoms:
Ca: 0.144 0.356 0.000
Ca: 0.356 0.856 0.000
Ca: 0.644 0.144 0.000
Ca: 0.856 0.644 0.000
Ag: 0.000 0.000 0.000
Ag: 0.500 0.500 0.000
O: 0.148 0.648 0.500
O: 0.352 0.148 0.500
O: 0.648 0.852 0.500
O: 0.852 0.352 0.500